[1]
CsZr2Ta after structural relaxation, computed with GGA-PBE.

ΔH_f (0 K), meV per atom: 1626
ΔE to the lowest computed polymorph, meV/atom: 352
Space group: I4_1/amd

Cell lengths 8.239, 8.239, 8.239 Å; angles 120.71, 120.71, 88.78 degrees
Sites, in units of the cell vectors:
Cs: 0.375 0.625 0.750
Cs: 0.625 0.375 0.250
Zr: 0.000 0.000 0.000
Zr: 0.000 0.000 0.500
Zr: 0.000 0.500 0.000
Zr: 0.500 0.000 0.500
Ta: 0.125 0.875 0.250
Ta: 0.875 0.125 0.750



[2]
Zr3NO after structural relaxation, computed with GGA-PBE.

ΔE to the lowest computed polymorph, meV/atom: 1388
Formation energy from raw total energies, meV/atom: -352.9
Space group: Pm-3m

Cell lengths 4.409, 4.409, 4.409 Å; angles 90.00, 90.00, 90.00 degrees
Sites, in units of the cell vectors:
Zr: 0.000 0.000 0.500
Zr: 0.000 0.500 0.000
Zr: 0.500 0.000 0.000
N: 0.000 0.000 0.000
O: 0.500 0.500 0.500



[3]
LiAcAs after structural relaxation, computed with GGA-PBE.

ΔH_f (0 K), meV per atom: -882
ΔE to the lowest computed polymorph, meV/atom: 117
Space group: C2/m

Cell lengths 6.184, 6.184, 7.433 Å; angles 122.82, 122.82, 40.99 degrees
Sites, in units of the cell vectors:
Li: 0.188 0.188 0.081
Li: 0.812 0.812 0.919
Ac: 0.454 0.454 0.694
Ac: 0.546 0.546 0.306
As: 0.192 0.192 0.719
As: 0.808 0.808 0.281



[4]
SrCr2Cu after structural relaxation, computed with GGA-PBE.

ΔH_f (0 K), meV per atom: 890
ΔE to the lowest computed polymorph, meV/atom: 468
Space group: I4/mmm

Cell lengths 5.441, 5.441, 5.441 Å; angles 132.13, 132.13, 70.02 degrees
Sites, in units of the cell vectors:
Sr: 0.000 0.000 0.000
Cr: 0.250 0.750 0.500
Cr: 0.750 0.250 0.500
Cu: 0.500 0.500 0.000



Here are the calculated electronic total energy numbers, same order: -46.6 -40.7 -26.6 -21.5 (eV per cell).